A plane-wave DFT calculation with PBE+U was carried out for a relaxed structure of PmScVO6.

Cell and atoms, written as POSCAR:
```
PmScVO6
1.0
5.284 0.000 0.000
-2.642 4.576 0.000
0.000 0.000 9.890
Pm Sc V O
2 2 2 12
direct
0.000 0.000 0.000
0.000 0.000 0.500
0.667 0.333 0.250
0.333 0.667 0.750
0.333 0.667 0.250
0.667 0.333 0.750
0.624 0.654 0.142
0.029 0.376 0.142
0.376 0.029 0.642
0.971 0.624 0.858
0.346 0.376 0.358
0.029 0.654 0.358
0.654 0.029 0.858
0.624 0.971 0.358
0.971 0.346 0.642
0.346 0.971 0.142
0.654 0.624 0.642
0.376 0.346 0.858
```

Values from the calculation:
The value obtained for the final energy is -71.21 eV per formula unit. The calculation puts the density at 4.68 g cm⁻³. As for the total moment: 2.094 Bohr magnetons per cell.